# 1
## Mn2CdRe (PBE-GGA)

Data for a relaxed Mn2CdRe crystal.

a = 2.731 Å, b = 2.731 Å, c = 8.607 Å
α = 90.00°, β = 90.00°, γ = 107.54°
Last column: magnetic moment on the atom in μB.
Sites, in units of the cell vectors:
Cd (0.500, 0.500, 0.750)  -0.04
Re (0.500, 0.500, 0.250)  -0.38
Mn (0.000, 0.000, 0.022)  2.83
Mn (0.000, 0.000, 0.478)  2.83

The value obtained for the formation energy is 0.289 eV per atom. The symmetry is Cmmm.

=====

# 2
## MnCdRe2 (PBE-GGA)

Data for a relaxed MnCdRe2 crystal.

a = 5.106 Å, b = 5.106 Å, c = 5.106 Å
α = 142.38°, β = 128.22°, γ = 65.74°
Last column: magnetic moment on the atom in μB.
Sites, in units of the cell vectors:
Re (0.768, 0.268, 0.500)  -0.12
Re (0.995, 0.995, 0.000)  -0.10
Mn (0.240, 0.740, 0.500)  3.11
Cd (0.497, 0.497, 0.000)  -0.01

The value obtained for the formation energy is 0.516 eV per atom. The symmetry is Imm2.

=====

# 3
## MnCdRe2 (PBE-GGA)

Data for a relaxed MnCdRe2 crystal.

a = 7.213 Å, b = 7.213 Å, c = 5.709 Å
α = 50.83°, β = 50.83°, γ = 90.00°
Sites, in units of the cell vectors:
Re (0.192, 0.625, 0.250)
Re (0.875, 0.808, 0.750)
Re (0.558, 0.125, 0.250)
Re (0.375, 0.442, 0.750)
Mn (0.250, 0.750, 0.500)
Mn (0.500, 0.500, 0.000)
Cd (0.000, 0.000, 0.000)
Cd (0.750, 0.250, 0.500)

The value obtained for the formation energy is 0.867 eV per atom. The symmetry is I-42d.

=====

# 4
## MnCdRe2 (PBE-GGA)

Data for a relaxed MnCdRe2 crystal.

a = 2.745 Å, b = 2.745 Å, c = 7.985 Å
α = 90.00°, β = 90.00°, γ = 90.00°
Sites, in units of the cell vectors:
Cd (0.500, 0.500, 0.250)
Re (0.000, 0.000, 0.962)
Re (0.000, 0.000, 0.538)
Mn (0.500, 0.500, 0.750)

The value obtained for the formation energy is 0.362 eV per atom. The symmetry is P4/mmm.

=====

# 5
## Mn2CdRe (PBE-GGA)

Data for a relaxed Mn2CdRe crystal.

a = 2.968 Å, b = 2.970 Å, c = 6.908 Å
α = 90.00°, β = 90.00°, γ = 90.00°
Last column: magnetic moment on the atom in μB.
Sites, in units of the cell vectors:
Mn (0.000, 0.000, 0.039)  3.51
Mn (0.500, 0.500, 0.258)  1.25
Re (0.000, 0.000, 0.448)  -0.14
Cd (0.500, 0.500, 0.755)  -0.02

The value obtained for the formation energy is 0.293 eV per atom. The symmetry is P4mm.

=====

# 6
## Mn2CdRe (PBE-GGA)

Data for a relaxed Mn2CdRe crystal.

a = 6.960 Å, b = 6.960 Å, c = 5.630 Å
α = 51.82°, β = 51.82°, γ = 90.00°
Last column: magnetic moment on the atom in μB.
Sites, in units of the cell vectors:
Mn (0.081, 0.625, 0.250)  2.14
Mn (0.669, 0.125, 0.250)  2.14
Mn (0.875, 0.919, 0.750)  2.14
Mn (0.375, 0.331, 0.750)  2.14
Re (0.750, 0.250, 0.500)  -0.76
Re (0.000, 0.000, 0.000)  -0.76
Cd (0.500, 0.500, 0.000)  -0.02
Cd (0.250, 0.750, 0.500)  -0.02

The value obtained for the formation energy is 0.847 eV per atom. The symmetry is I-42d.

=====

# 7
## MnCdRe2 (PBE-GGA)

Data for a relaxed MnCdRe2 crystal.

a = 5.000 Å, b = 5.000 Å, c = 4.712 Å
α = 75.25°, β = 75.25°, γ = 32.65°
Last column: magnetic moment on the atom in μB.
Sites, in units of the cell vectors:
Mn (0.750, 0.750, 0.750)  2.10
Cd (0.250, 0.250, 0.250)  -0.01
Re (0.021, 0.021, 0.979)  -0.18
Re (0.479, 0.479, 0.521)  -0.18

The value obtained for the formation energy is 0.396 eV per atom. The symmetry is C2/m.

=====

# 8
## Mn2CdRe (PBE-GGA)

Data for a relaxed Mn2CdRe crystal.

a = 8.994 Å, b = 8.994 Å, c = 8.994 Å
α = 18.34°, β = 18.34°, γ = 18.34°
Last column: magnetic moment on the atom in μB.
Sites, in units of the cell vectors:
Re (0.250, 0.250, 0.250)  -0.38
Mn (0.992, 0.992, 0.992)  3.07
Mn (0.508, 0.508, 0.508)  3.07
Cd (0.750, 0.750, 0.750)  -0.03

The value obtained for the formation energy is 0.323 eV per atom. The symmetry is R-3m.